Record 1
This record from Alexandria via LeMat-Bulk describes crystalline Rb3Bi5S12 at its relaxed geometry. The functional is PBE-GGA.

Geometry as POSCAR:
```
Rb3Bi5S12
1.0
-8.599 8.599 8.599
8.599 -8.599 8.599
8.599 8.599 -8.599
Rb Bi S
12 20 48
direct
0.125 0.250 0.375 Rb
0.125 0.375 0.750 Rb
0.250 0.375 0.125 Rb
0.250 0.875 0.625 Rb
0.375 0.125 0.250 Rb
0.375 0.750 0.125 Rb
0.625 0.250 0.875 Rb
0.625 0.875 0.750 Rb
0.750 0.125 0.375 Rb
0.750 0.625 0.875 Rb
0.875 0.625 0.250 Rb
0.875 0.750 0.625 Rb
0.000 0.000 0.000 Bi
0.000 0.000 0.500 Bi
0.000 0.500 0.000 Bi
0.000 0.500 0.500 Bi
0.125 0.750 0.875 Bi
0.125 0.875 0.250 Bi
0.250 0.125 0.875 Bi
0.250 0.625 0.375 Bi
0.375 0.250 0.625 Bi
0.375 0.625 0.750 Bi
0.500 0.000 0.000 Bi
0.500 0.000 0.500 Bi
0.500 0.500 0.000 Bi
0.500 0.500 0.500 Bi
0.625 0.375 0.250 Bi
0.625 0.750 0.375 Bi
0.750 0.375 0.625 Bi
0.750 0.875 0.125 Bi
0.875 0.125 0.750 Bi
0.875 0.250 0.125 Bi
0.022 0.206 0.115 S
0.022 0.317 0.907 S
0.090 0.706 0.683 S
0.090 0.885 0.407 S
0.093 0.615 0.410 S
0.093 0.978 0.683 S
0.115 0.022 0.206 S
0.115 0.593 0.910 S
0.183 0.206 0.590 S
0.183 0.478 0.593 S
0.206 0.115 0.022 S
0.206 0.590 0.183 S
0.294 0.317 0.910 S
0.294 0.478 0.385 S
0.317 0.907 0.022 S
0.317 0.910 0.294 S
0.385 0.294 0.478 S
0.385 0.590 0.907 S
0.407 0.090 0.885 S
0.407 0.817 0.522 S
0.410 0.093 0.615 S
0.410 0.817 0.794 S
0.478 0.385 0.294 S
0.478 0.593 0.183 S
0.522 0.407 0.817 S
0.522 0.615 0.706 S
0.590 0.183 0.206 S
0.590 0.907 0.385 S
0.593 0.183 0.478 S
0.593 0.910 0.115 S
0.615 0.410 0.093 S
0.615 0.706 0.522 S
0.683 0.090 0.706 S
0.683 0.093 0.978 S
0.706 0.522 0.615 S
0.706 0.683 0.090 S
0.794 0.410 0.817 S
0.794 0.885 0.978 S
0.817 0.522 0.407 S
0.817 0.794 0.410 S
0.885 0.407 0.090 S
0.885 0.978 0.794 S
0.907 0.022 0.317 S
0.907 0.385 0.590 S
0.910 0.115 0.593 S
0.910 0.294 0.317 S
0.978 0.683 0.093 S
0.978 0.794 0.885 S
```

Properties
- N(E_F): 0.298 states/eV per atom
- Symmetry: Ia-3d
- DFT total energy: -3.87 eV per atom



Record 2
This record from Alexandria via LeMat-Bulk describes crystalline RbBiS3 at its relaxed geometry. The functional is PBE-GGA.

Geometry as POSCAR:
```
RbBiS3
1.0
5.327 0.000 0.000
0.000 5.327 0.000
0.000 0.000 5.327
Rb Bi S
1 1 3
direct
0.000 0.000 0.000 Rb
0.500 0.500 0.500 Bi
0.000 0.000 0.500 S
0.000 0.500 0.000 S
0.500 0.000 0.000 S
```

Properties
- N(E_F): 1.229 states/eV per atom
- Symmetry: Pm-3m
- DFT total energy: -2.30 eV per atom



Record 3
This record from Alexandria via LeMat-Bulk describes crystalline Rb8BiS2 at its relaxed geometry. The functional is PBE-GGA.

Geometry as POSCAR:
```
Rb8BiS2
1.0
5.216 -7.671 0.000
5.216 7.671 0.000
-1.297 0.000 6.439
Rb Bi S
8 1 2
direct
0.124 0.124 0.775 Rb
0.180 0.451 0.431 Rb
0.250 0.750 0.000 Rb
0.451 0.180 0.431 Rb
0.549 0.820 0.569 Rb
0.750 0.250 0.000 Rb
0.820 0.549 0.569 Rb
0.876 0.876 0.225 Rb
0.500 0.500 0.000 Bi
0.182 0.818 0.500 S
0.818 0.182 0.500 S
```

Properties
- N(E_F): 0.239 states/eV per atom
- Symmetry: C2/m
- DFT total energy: -2.40 eV per atom



Record 4
This record from Alexandria via LeMat-Bulk describes crystalline Rb2BiS3 at its relaxed geometry. The functional is PBE-GGA.

Geometry as POSCAR:
```
Rb2BiS3
1.0
6.629 -4.391 0.000
6.629 4.391 0.000
-0.745 0.000 7.219
Rb Bi S
4 2 6
direct
0.001 0.316 0.203 Rb
0.316 0.001 0.703 Rb
0.684 0.999 0.297 Rb
0.999 0.684 0.797 Rb
0.419 0.581 0.250 Bi
0.581 0.419 0.750 Bi
0.135 0.865 0.250 S
0.339 0.372 0.486 S
0.372 0.339 0.986 S
0.628 0.661 0.014 S
0.661 0.628 0.514 S
0.865 0.135 0.750 S
```

Properties
- N(E_F): 0.178 states/eV per atom
- Symmetry: C2/c
- DFT total energy: -3.74 eV per atom



Taking the records one at a time from the top gives uncorrected formation energy values of -0.2795; 1.1510; -0.5972; -0.7040 eV per atom.